Ac3SbPO: relaxed, PBE.

Cell: 9.3406 4.4426 9.6705 Å, 90.00 102.08 90.00°
Space group P2_1/m (No. 11)
Inequivalent atoms, fractional coordinates:
Ac 0.0727 0.2500 0.3349 (multiplicity 2)
Ac 0.3259 0.2500 0.9799 (multiplicity 2)
Ac 0.3876 0.7500 0.6465 (multiplicity 2)
Sb 0.3258 0.7500 0.2729 (multiplicity 2)
P 0.1572 0.2500 0.6564 (multiplicity 2)
O 0.4141 0.7500 0.9079 (multiplicity 2)

Values from the calculation:
DOS(E_F)   5.3 states/eV/cell
Energy relative to the elements, uncorrected   -1.827 eV/atom